Entry 1:
Compound: SiTe2
Source: Alexandria via LeMat-Bulk
Functional: PBE
Structure: optimized geometry

Structure (extended XYZ):
```
6
Lattice="2.122 -12.311 0.000 2.122 12.311 0.000 0.000 0.000 4.044" Properties=species:S:1:pos:R:3 pbc="T T T"
Si 2.122 6.751 0.000
Si 2.122 -6.751 0.000
Te 0.000 0.000 0.000
Te 2.122 8.359 2.022
Te 2.122 0.000 2.022
Te 2.122 -8.359 2.022
```

## Properties
SG   Cmmm, No. 65
Uncorrected formation energy   0.091 eV/atom


Entry 2:
Compound: V5PdW4
Source: Alexandria via LeMat-Bulk
Functional: PBE
Structure: optimized geometry

Structure (extended XYZ):
```
10
Lattice="3.097 0.000 0.000 0.000 3.097 0.000 0.000 0.000 15.340" Properties=species:S:1:pos:R:3 pbc="T T T"
V 0.000 0.000 0.000
V 0.000 0.000 3.079
V 0.000 0.000 6.056
V 0.000 0.000 9.284
V 0.000 0.000 12.261
Pd 1.549 1.549 7.670
W 1.549 1.549 1.530
W 1.549 1.549 4.622
W 1.549 1.549 10.718
W 1.549 1.549 13.809
```

## Properties
DFT formation energy   -0.0728 eV/atom
SG   P4/mmm, No. 123


Entry 3:
Compound: Sc2TlSn
Source: Alexandria via LeMat-Bulk
Functional: PBE
Structure: optimized geometry

Structure (extended XYZ):
```
8
Lattice="-3.952 3.952 3.265 3.952 -3.952 3.265 3.952 3.952 -3.265" Properties=species:S:1:pos:R:3 pbc="T T T"
Sc 5.928 1.953 -0.816
Sc 1.953 1.976 0.816
Sc -1.976 1.999 2.449
Sc 1.999 1.976 4.081
Tl 3.952 0.000 1.632
Tl 0.000 0.000 3.265
Sn 0.000 0.000 0.000
Sn 0.000 3.952 1.632
```

## Properties
DFT formation energy   -0.1444 eV/atom
SG   I-42d, No. 122
Polymorph energy (0 for the lowest one)   0.263 eV per atom


Entry 4:
Compound: Ta12Ti5Pd3
Source: Alexandria via LeMat-Bulk
Functional: PBE
Structure: optimized geometry

Structure (extended XYZ):
```
80
Lattice="-7.755 7.755 7.755 7.755 -7.755 7.755 7.755 7.755 -7.755" Properties=species:S:1:pos:R:3 pbc="T T T"
Ta 7.701 -1.263 2.284
Ta 11.687 -1.594 2.615
Ta 2.284 -0.055 1.263
Ta 9.349 5.140 -3.932
Ta 10.039 0.055 1.263
Ta 9.349 -2.615 3.932
Ta 1.263 2.284 -0.055
Ta 10.370 3.823 -1.594
Ta 5.140 3.932 -1.594
Ta 6.493 2.284 0.055
Ta -0.055 1.263 2.284
Ta 3.932 -1.594 5.140
Ta 7.701 6.493 -2.284
Ta 3.932 1.594 2.615
Ta 6.493 -2.284 7.701
Ta 5.140 -3.932 9.349
Ta 2.615 3.932 1.594
Ta 9.018 5.471 0.055
Ta 2.284 7.701 -1.263
Ta 9.349 2.615 3.823
Ta 1.594 2.615 3.932
Ta 2.284 0.055 6.493
Ta 3.932 9.349 -2.615
Ta 7.701 1.263 5.471
Ta 0.055 6.493 2.284
Ta 3.823 -1.594 10.370
Ta 5.471 7.701 1.263
Ta 6.162 5.140 3.823
Ta -1.594 5.140 3.932
Ta 5.471 0.055 9.018
Ta -1.263 2.284 7.701
Ta 5.140 3.823 6.162
Ta 2.615 11.687 -1.594
Ta 1.263 10.039 0.055
Ta 3.823 6.162 5.140
Ta 0.055 1.263 10.039
Ta 3.823 9.349 2.615
Ta 7.810 6.493 5.471
Ta 1.263 5.471 7.701
Ta 2.615 3.823 9.349
Ta -2.615 3.932 9.349
Ta 6.493 5.471 7.810
Ta -1.594 10.370 3.823
Ta -2.284 7.701 6.493
Ta -1.594 2.615 11.687
Ta 5.471 7.810 6.493
Ta -3.932 9.349 5.140
Ta 0.055 9.018 5.471
Ti 0.000 0.000 0.000
Ti 3.878 3.878 -3.878
Ti 3.878 -3.878 3.878
Ti 7.755 0.000 0.000
Ti 11.633 1.939 0.000
Ti 7.755 -3.878 5.816
Ti 5.816 7.755 -3.878
Ti 5.816 0.000 3.878
Ti 3.878 5.816 0.000
Ti 7.755 3.878 1.939
Ti -3.878 3.878 3.878
Ti 0.000 7.755 0.000
Ti 0.000 0.000 7.755
Ti 3.878 3.878 3.878
Ti 0.000 3.878 5.816
Ti 3.878 1.939 7.755
Ti 1.939 7.755 3.878
Ti 1.939 0.000 11.633
Ti 0.000 11.633 1.939
Ti -3.878 5.816 7.755
Pd 3.878 1.939 0.000
Pd 7.755 3.878 -1.939
Pd 1.939 0.000 3.878
Pd 9.694 0.000 3.878
Pd 0.000 3.878 1.939
Pd 3.878 -1.939 7.755
Pd 3.878 9.694 0.000
Pd 7.755 3.878 5.816
Pd -1.939 7.755 3.878
Pd 5.816 7.755 3.878
Pd 0.000 3.878 9.694
Pd 3.878 5.816 7.755
```

## Properties
DFT formation energy   1.3473 eV/atom
SG   Ia-3d, No. 230